(1)
Compound: AcTbNd6Dy2
Source: the Alexandria database
Functional: GGA-PBE
Structure: relaxed

Results
Electronic total energy in eV/atom: -4.536
ρ in g/cm³: 7.36
DFT formation energy in eV/f.u.: 1.2

Unit cell a=9.8002 b=9.0692 c=9.0692 alpha=117.48 beta=93.17 gamma=93.17
Positions (direct):
Nd (0.1833, 0.5558, 0.0102)
Nd (0.1184, 0.7082, 0.4906)
Nd (0.5543, 0.7529, 0.1214)
Nd (0.6833, 0.0102, 0.5558)
Nd (0.6184, 0.4906, 0.7082)
Nd (0.3816, 0.5094, 0.2918)
Nd (0.8167, 0.4442, 0.9898)
Nd (0.9457, 0.8786, 0.2471)
Nd (0.4457, 0.2471, 0.8786)
Nd (0.0543, 0.1214, 0.7529)
Nd (0.8816, 0.2918, 0.5094)
Nd (0.3167, 0.9898, 0.4442)
Tb (0.2500, 0.4114, 0.5886)
Tb (0.7500, 0.5886, 0.4114)
Dy (0.4527, 0.7966, 0.6887)
Dy (0.9527, 0.6887, 0.7966)
Dy (0.5473, 0.2034, 0.3113)
Dy (0.0473, 0.3113, 0.2034)
Ac (0.7500, 0.0279, 0.9721)
Ac (0.2500, 0.9721, 0.0279)

(2)
Compound: AcTbNd4Dy2
Source: the Alexandria database
Functional: GGA-PBE
Structure: relaxed

Results
Electronic total energy in eV/atom: -4.599
ρ in g/cm³: 7.65
DFT formation energy in eV/f.u.: 0.2

Unit cell a=5.2082 b=5.1722 c=11.5987 alpha=63.49 beta=90.00 gamma=90.00
Positions (direct):
Nd (0.5000, 0.2580, 0.7421)
Nd (0.0000, 0.7568, 0.7430)
Nd (0.0000, 0.2432, 0.2570)
Nd (0.5000, 0.7420, 0.2579)
Dy (0.0000, 0.0000, 0.0000)
Dy (0.5000, 0.0000, 0.5000)
Ac (0.5000, 0.5000, 0.0000)
Tb (0.0000, 0.5000, 0.5000)

(3)
Compound: AcTbNd2Dy4
Source: the Alexandria database
Functional: GGA-PBE
Structure: relaxed

Results
Electronic total energy in eV/atom: -4.162
ρ in g/cm³: 7.87
DFT formation energy in eV/f.u.: 3.4

Unit cell a=9.6531 b=9.6531 c=11.9792 alpha=128.35 beta=128.35 gamma=88.39
Positions (direct):
Dy (0.7422, 0.7585, 0.5046)
Dy (0.2585, 0.7670, 0.0127)
Dy (0.7416, 0.2330, 0.9873)
Dy (0.7415, 0.7578, 0.9954)
Dy (0.2578, 0.2415, 0.4954)
Dy (0.2670, 0.7584, 0.5127)
Dy (0.2585, 0.2422, 0.0046)
Dy (0.7330, 0.2416, 0.4873)
Ac (0.0000, 0.5000, 0.0000)
Ac (0.0000, 0.5000, 0.5000)
Tb (0.0000, 0.0000, 0.0000)
Tb (0.5000, 0.5000, 0.5000)
Nd (0.5000, 0.0000, 0.5000)
Nd (0.0000, 0.0000, 0.5000)
Nd (0.5000, 0.5000, 0.0000)
Nd (0.5000, 0.0000, 0.0000)

(4)
Compound: AcTb5NdDy2
Source: the Alexandria database
Functional: GGA-PBE
Structure: relaxed

Results
Electronic total energy in eV/atom: -4.315
ρ in g/cm³: 8.05
DFT formation energy in eV/f.u.: 2.4

Unit cell a=8.9190 b=8.9190 c=9.9799 alpha=116.54 beta=116.54 gamma=90.00
Positions (direct):
Tb (0.0000, 0.0000, 0.0000)
Tb (0.3261, 0.8261, 0.2535)
Tb (0.8261, 0.9274, 0.2535)
Tb (0.5726, 0.6739, 0.7465)
Tb (0.6739, 0.1739, 0.7465)
Tb (0.9274, 0.4274, 0.2535)
Tb (0.5000, 0.5000, 0.0000)
Tb (0.1739, 0.0726, 0.7465)
Tb (0.4274, 0.3261, 0.2535)
Tb (0.0726, 0.5726, 0.7465)
Nd (0.2500, 0.7500, 0.5000)
Nd (0.7500, 0.2500, 0.5000)
Dy (0.3844, 0.8844, 0.0000)
Dy (0.8844, 0.6156, 0.0000)
Dy (0.1156, 0.3844, 0.0000)
Dy (0.6156, 0.1156, 0.0000)
Ac (0.7500, 0.7500, 0.5000)
Ac (0.2500, 0.2500, 0.5000)

(5)
Compound: AcTbNdDy
Source: the Alexandria database
Functional: GGA-PBE
Structure: relaxed

Results
Electronic total energy in eV/atom: -4.408
ρ in g/cm³: 8.02
E above lowest polymorph in meV/atom: 63
DFT formation energy in eV/f.u.: 0.5

Unit cell a=5.8764 b=5.8764 c=5.8764 alpha=60.00 beta=60.00 gamma=60.00
Positions (direct):
Ac (0.0000, 0.0000, 0.0000)
Dy (0.2500, 0.2500, 0.2500)
Tb (0.7500, 0.7500, 0.7500)
Nd (0.5000, 0.5000, 0.5000)

(6)
Compound: AcTb2NdDy5
Source: the Alexandria database
Functional: GGA-PBE
Structure: relaxed

Results
Electronic total energy in eV/atom: -4.308
ρ in g/cm³: 8.17
DFT formation energy in eV/f.u.: 2.4

Unit cell a=8.8907 b=8.8907 c=9.9584 alpha=116.51 beta=116.51 gamma=90.00
Positions (direct):
Dy (0.8294, 0.9262, 0.2555)
Dy (0.5738, 0.6706, 0.7445)
Dy (0.4262, 0.3294, 0.2555)
Dy (0.3294, 0.8294, 0.2555)
Dy (0.9262, 0.4262, 0.2555)
Dy (0.5000, 0.5000, 0.0000)
Dy (0.0738, 0.5738, 0.7445)
Dy (0.6706, 0.1706, 0.7445)
Dy (0.0000, 0.0000, 0.0000)
Dy (0.1706, 0.0738, 0.7445)
Ac (0.7500, 0.7500, 0.5000)
Ac (0.2500, 0.2500, 0.5000)
Tb (0.6156, 0.1156, 0.0000)
Tb (0.3844, 0.8844, 0.0000)
Tb (0.1156, 0.3844, 0.0000)
Tb (0.8844, 0.6156, 0.0000)
Nd (0.7500, 0.2500, 0.5000)
Nd (0.2500, 0.7500, 0.5000)

(7)
Compound: Ac2TbNd5Dy
Source: the Alexandria database
Functional: GGA-PBE
Structure: relaxed

Results
Electronic total energy in eV/atom: -4.454
ρ in g/cm³: 7.46
DFT formation energy in eV/f.u.: 1.2

Unit cell a=5.8444 b=10.7805 c=10.9804 alpha=90.00 beta=90.00 gamma=105.73
Positions (direct):
Tb (0.5925, 0.1851, 0.9669)
Tb (0.4075, 0.8149, 0.4669)
Ac (0.1171, 0.2341, 0.3173)
Ac (0.8829, 0.7659, 0.8173)
Ac (0.8871, 0.7743, 0.2336)
Ac (0.1129, 0.2257, 0.7336)
Nd (0.9810, 0.9620, 0.5211)
Nd (0.3874, 0.7748, 0.0211)
Nd (0.2812, 0.5625, 0.3107)
Nd (0.4832, 0.9665, 0.7428)
Nd (0.2947, 0.5894, 0.7015)
Nd (0.7188, 0.4375, 0.8107)
Nd (0.6126, 0.2252, 0.5211)
Nd (0.7053, 0.4106, 0.2015)
Nd (0.5168, 0.0335, 0.2428)
Nd (0.0190, 0.0380, 0.0211)
Dy (0.7950, 0.5900, 0.5088)
Dy (0.2050, 0.4100, 0.0088)

(8)
Compound: AcTb2Nd6Dy
Source: the Alexandria database
Functional: GGA-PBE
Structure: relaxed

Results
Electronic total energy in eV/atom: -4.539
ρ in g/cm³: 7.34
DFT formation energy in eV/f.u.: 1.2

Unit cell a=9.7947 b=9.0876 c=9.0876 alpha=117.73 beta=93.13 gamma=93.13
Positions (direct):
Tb (0.9532, 0.6869, 0.7969)
Tb (0.5468, 0.2031, 0.3131)
Tb (0.0468, 0.3131, 0.2031)
Tb (0.4532, 0.7969, 0.6869)
Nd (0.8152, 0.4420, 0.9890)
Nd (0.6181, 0.4928, 0.7093)
Nd (0.6848, 0.0110, 0.5580)
Nd (0.8819, 0.2907, 0.5072)
Nd (0.5543, 0.7529, 0.1244)
Nd (0.1181, 0.7093, 0.4928)
Nd (0.4457, 0.2471, 0.8756)
Nd (0.3819, 0.5072, 0.2907)
Nd (0.3152, 0.9890, 0.4420)
Nd (0.0543, 0.1244, 0.7529)
Nd (0.9457, 0.8756, 0.2471)
Nd (0.1848, 0.5580, 0.0110)
Ac (0.7500, 0.0265, 0.9735)
Ac (0.2500, 0.9735, 0.0265)
Dy (0.2500, 0.4118, 0.5882)
Dy (0.7500, 0.5882, 0.4118)